[1]
The following is a DFT calculation (PBE-GGA) of a relaxed Pr4Nd2HoTh crystal.

## Properties
spin magnetization = 0.0 μB per formula unit
energy relative to the elements = 132 meV per atom
uncorrected energy = -4.949 eV per atom

Lattice parameters (Å, degrees): 6.148 6.133 9.564 50.27 90.00 90.00
Element x y z (fractional)
Pr: 0.000 0.745 0.756
Pr: 0.000 0.255 0.244
Pr: 0.500 0.755 0.245
Pr: 0.500 0.245 0.755
Nd: 0.000 0.000 0.000
Nd: 0.500 0.000 0.500
Ho: 0.000 0.500 0.500
Th: 0.500 0.500 0.000

---

[2]
The following is a DFT calculation (PBE-GGA) of a relaxed ZrTlSe3 crystal.

## Properties
spin magnetization = 0.0 μB per formula unit
distance to the lowest polymorph of the same formula = 14.1 kJ per mole of atoms
uncorrected energy = -5.022 eV per atom
formation energy without anion corrections = -3.74 eV/f.u.

Lattice parameters (Å, degrees): 5.285 5.285 5.285 90.00 90.00 90.00
Element x y z (fractional)
Tl: 0.500 0.500 0.500
Se: 0.000 0.500 0.000
Se: 0.000 0.000 0.500
Se: 0.500 0.000 0.000
Zr: 0.000 0.000 0.000

---

[3]
The following is a DFT calculation (PBE-GGA) of a relaxed Ce6SiAs3S2 crystal.

## Properties
spin magnetization = 4.1 μB per formula unit
uncorrected energy = -6.752 eV per atom
formation energy without anion corrections = -17.79 eV/f.u.

Lattice parameters (Å, degrees): 4.159 8.300 9.287 102.89 102.94 90.00
Element x y z (fractional)
Ce: 0.334 0.912 0.668
Ce: 0.668 0.579 0.337
Ce: 0.666 0.088 0.332
Ce: 0.002 0.249 0.004
Ce: 0.998 0.751 0.996
Ce: 0.332 0.421 0.663
Si: 0.500 0.000 0.000
As: 0.500 0.500 0.000
As: 0.833 0.168 0.667
As: 0.167 0.832 0.333
S: 0.833 0.666 0.665
S: 0.167 0.334 0.335

---

[4]
The following is a DFT calculation (PBE-GGA) of a relaxed CsMg4Pb5 crystal.

## Properties
spin magnetization = 0.0 μB per formula unit
energy relative to the elements = -72 meV per atom
uncorrected energy = -2.649 eV per atom

Lattice parameters (Å, degrees): 3.858 3.858 19.840 90.00 90.00 90.00
Element x y z (fractional)
Cs: 0.000 0.000 0.000
Mg: 0.000 0.000 0.230
Mg: 0.000 0.000 0.411
Mg: 0.000 0.000 0.589
Mg: 0.000 0.000 0.770
Pb: 0.500 0.500 0.149
Pb: 0.500 0.500 0.320
Pb: 0.500 0.500 0.500
Pb: 0.500 0.500 0.680
Pb: 0.500 0.500 0.851

---

[5]
The following is a DFT calculation (PBE-GGA) of a relaxed Lu2SbC crystal.

## Properties
spin magnetization = 0.0 μB per formula unit
uncorrected energy = -6.299 eV per atom
formation energy without anion corrections = -2.81 eV/f.u.

Lattice parameters (Å, degrees): 3.588 3.588 7.657 76.45 76.45 60.00
Element x y z (fractional)
Sb: 0.500 0.500 0.500
C: 0.000 0.000 0.000
Lu: 0.276 0.276 0.173
Lu: 0.724 0.724 0.827

---

[6]
The following is a DFT calculation (PBE-GGA) of a relaxed CaFePt2 crystal.

## Properties
spin magnetization = 3.4 μB per formula unit
energy relative to the elements = -315 meV per atom
uncorrected energy = -5.952 eV per atom

Lattice parameters (Å, degrees): 4.838 6.737 2.969 63.84 90.01 124.13
Element x y z (fractional)
Ca: 0.500 0.500 0.000
Fe: 0.500 0.000 0.500
Pt: 0.000 0.000 0.000
Pt: 0.000 0.500 0.500

---

[7]
The following is a DFT calculation (PBE-GGA) of a relaxed Pa4Te4Pt crystal.

## Properties
spin magnetization = 8.1 μB per formula unit
uncorrected energy = -6.533 eV per atom
formation energy without anion corrections = -2.20 eV/f.u.

Lattice parameters (Å, degrees): 7.355 7.355 7.701 118.52 118.53 90.00
Element x y z (fractional)
Pa: 0.642 0.642 0.699
Pa: 0.358 0.944 0.301
Pa: 0.056 0.056 0.699
Pa: 0.944 0.358 0.301
Te: 0.500 0.000 0.000
Te: 0.000 0.500 0.000
Te: 0.344 0.344 0.688
Te: 0.656 0.656 0.312
Pt: 0.000 0.000 0.000

---

[8]
The following is a DFT calculation (PBE-GGA) of a relaxed AlNiB3 crystal.

## Properties
spin magnetization = 0.0 μB per formula unit
distance to the lowest polymorph of the same formula = 0.0 kJ per mole of atoms
energy relative to the elements = 1057 meV per atom
uncorrected energy = -4.855 eV per atom

Lattice parameters (Å, degrees): 3.816 3.816 3.816 90.00 90.00 90.00
Element x y z (fractional)
Ni: 0.000 0.000 0.000
B: 0.000 0.500 0.000
B: 0.000 0.000 0.500
B: 0.500 0.000 0.000
Al: 0.500 0.500 0.500

---

[9]
The following is a DFT calculation (PBE-GGA) of a relaxed MnCo2Pt crystal.

## Properties
spin magnetization = 7.3 μB per formula unit
energy relative to the elements = -19 meV per atom
uncorrected energy = -7.374 eV per atom

Lattice parameters (Å, degrees): 4.554 4.554 4.504 78.33 78.33 34.67
Element x y z (fractional)
Co: 0.006 0.006 0.982
Co: 0.743 0.743 0.764
Mn: 0.497 0.497 0.507
Pt: 0.255 0.255 0.247

---

[10]
The following is a DFT calculation (PBE-GGA) of a relaxed AlCrAg2 crystal.

## Properties
spin magnetization = 3.7 μB per formula unit
energy relative to the elements = 224 meV per atom
uncorrected energy = -4.543 eV per atom

Lattice parameters (Å, degrees): 4.680 2.877 5.050 85.35 90.00 90.00
Element x y z (fractional)
Cr: 0.500 0.750 0.750
Al: 0.500 0.250 0.250
Ag: 0.000 0.028 0.002
Ag: 0.000 0.472 0.498

---

[11]
The following is a DFT calculation (PBE-GGA) of a relaxed Rb2NbTc crystal.

## Properties
spin magnetization = 0.0 μB per formula unit
energy relative to the elements = 2693 meV per atom
uncorrected energy = -2.900 eV per atom

Lattice parameters (Å, degrees): 5.361 5.361 5.361 60.00 60.00 60.00
Element x y z (fractional)
Nb: 0.000 0.000 0.000
Tc: 0.500 0.500 0.500
Rb: 0.250 0.250 0.250
Rb: 0.750 0.750 0.750

---

[12]
The following is a DFT calculation (PBE-GGA) of a relaxed LaPm2Pr2Er2 crystal.

## Properties
spin magnetization = 0.0 μB per formula unit
energy relative to the elements = 85 meV per atom
uncorrected energy = -4.646 eV per atom

Lattice parameters (Å, degrees): 3.579 6.193 12.115 71.27 90.00 106.79
Element x y z (fractional)
La: 0.000 0.000 0.500
Pm: 0.448 0.897 0.770
Pm: 0.552 0.103 0.230
Pr: 0.668 0.335 0.917
Pr: 0.332 0.665 0.083
Er: 0.776 0.552 0.364
Er: 0.224 0.448 0.636

---

[13]
The following is a DFT calculation (PBE-GGA) of a relaxed BaAlAgS3 crystal.

## Properties
spin magnetization = 0.0 μB per formula unit
uncorrected energy = -4.563 eV per atom
formation energy without anion corrections = -6.48 eV/f.u.

Lattice parameters (Å, degrees): 6.887 6.887 8.060 69.68 69.68 63.61
Element x y z (fractional)
Ba: 0.701 0.701 0.793
Ba: 0.299 0.299 0.207
Al: 0.053 0.053 0.753
Al: 0.947 0.947 0.247
Ag: 0.286 0.714 0.500
Ag: 0.714 0.286 0.500
S: 0.254 0.254 0.620
S: 0.192 0.688 0.825
S: 0.688 0.192 0.825
S: 0.312 0.808 0.175
S: 0.808 0.312 0.175
S: 0.746 0.746 0.380

---

[14]
The following is a DFT calculation (PBE-GGA) of a relaxed Sr2TbTmS4 crystal.

## Properties
spin magnetization = 0.0 μB per formula unit
uncorrected energy = -5.648 eV per atom
formation energy without anion corrections = -16.21 eV/f.u.

Lattice parameters (Å, degrees): 4.025 6.964 7.148 108.98 90.00 90.00
Element x y z (fractional)
Sr: 0.500 0.000 0.500
Sr: 0.000 0.500 0.500
Tb: 0.500 0.500 0.000
Tm: 0.000 0.000 0.000
S: 0.500 0.238 0.226
S: 0.500 0.762 0.774
S: 0.000 0.253 0.772
S: 0.000 0.747 0.228

---

[15]
The following is a DFT calculation (PBE-GGA) of a relaxed MgTlZn crystal.

## Properties
spin magnetization = 0.0 μB per formula unit
distance to the lowest polymorph of the same formula = 4.5 kJ per mole of atoms
energy relative to the elements = 89 meV per atom
uncorrected energy = -1.656 eV per atom

Lattice parameters (Å, degrees): 3.284 3.351 14.383 90.00 90.00 119.34
Element x y z (fractional)
Mg: 0.614 0.227 0.000
Mg: 0.275 0.549 0.500
Tl: 0.605 0.210 0.318
Tl: 0.605 0.210 0.682
Zn: 0.284 0.569 0.851
Zn: 0.284 0.569 0.149

---

[16]
The following is a DFT calculation (PBE-GGA) of a relaxed HfZn2Pd crystal.

## Properties
spin magnetization = 0.0 μB per formula unit
energy relative to the elements = -340 meV per atom
uncorrected energy = -4.764 eV per atom

Lattice parameters (Å, degrees): 4.567 4.351 6.677 90.01 90.00 90.00
Element x y z (fractional)
Hf: 0.750 0.500 0.845
Hf: 0.250 0.500 0.155
Zn: 0.750 0.000 0.130
Zn: 0.250 0.000 0.870
Zn: 0.750 0.999 0.585
Zn: 0.250 0.001 0.415
Pd: 0.750 0.500 0.362
Pd: 0.250 0.500 0.638

---

[17]
The following is a DFT calculation (PBE-GGA) of a relaxed Y5Tl2Pd2 crystal.

## Properties
spin magnetization = 0.0 μB per formula unit
energy relative to the elements = -546 meV per atom
uncorrected energy = -5.817 eV per atom

Lattice parameters (Å, degrees): 7.259 8.636 8.867 119.14 90.00 90.00
Element x y z (fractional)
Y: 0.000 0.000 0.000
Y: 0.500 0.500 0.000
Y: 0.847 0.805 0.248
Y: 0.153 0.443 0.248
Y: 0.347 0.943 0.248
Y: 0.653 0.305 0.248
Y: 0.153 0.195 0.752
Y: 0.847 0.557 0.752
Y: 0.653 0.057 0.752
Y: 0.347 0.695 0.752
Tl: 0.000 0.211 0.421
Tl: 0.500 0.711 0.421
Tl: 0.000 0.789 0.579
Tl: 0.500 0.289 0.579
Pd: 0.635 0.879 0.000
Pd: 0.365 0.121 0.000
Pd: 0.135 0.621 0.000
Pd: 0.865 0.379 0.000

---

[18]
The following is a DFT calculation (PBE-GGA) of a relaxed TbErI6 crystal.

## Properties
spin magnetization = 0.0 μB per formula unit
distance to the lowest polymorph of the same formula = 2.4 kJ per mole of atoms
uncorrected energy = -3.632 eV per atom
formation energy without anion corrections = -10.56 eV/f.u.

Lattice parameters (Å, degrees): 7.608 7.608 8.142 62.17 62.16 60.02
Element x y z (fractional)
Tb: 0.000 0.000 0.000
Er: 0.500 0.500 0.500
I: 0.093 0.411 0.749
I: 0.748 0.093 0.749
I: 0.589 0.252 0.251
I: 0.252 0.907 0.251
I: 0.907 0.589 0.251
I: 0.411 0.748 0.749

---

[19]
The following is a DFT calculation (PBE-GGA) of a relaxed NaLiBi crystal.

## Properties
spin magnetization = 0.0 μB per formula unit
distance to the lowest polymorph of the same formula = 20.4 kJ per mole of atoms
energy relative to the elements = -205 meV per atom
uncorrected energy = -2.576 eV per atom

Lattice parameters (Å, degrees): 4.847 4.847 4.847 60.00 60.00 60.00
Element x y z (fractional)
Na: 0.500 0.500 0.500
Bi: 0.000 0.000 0.000
Li: 0.250 0.250 0.250

---

[20]
The following is a DFT calculation (PBE-GGA) of a relaxed CsV3N crystal.

## Properties
spin magnetization = 0.0 μB per formula unit
distance to the lowest polymorph of the same formula = 0.0 kJ per mole of atoms
uncorrected energy = -6.412 eV per atom
formation energy without anion corrections = 4.47 eV/f.u.

Lattice parameters (Å, degrees): 4.184 4.184 4.184 90.00 90.00 90.00
Element x y z (fractional)
Cs: 0.500 0.500 0.500
V: 0.000 0.500 0.000
V: 0.000 0.000 0.500
V: 0.500 0.000 0.000
N: 0.000 0.000 0.000